# PBE Np2Co5NiB2, optimized geometry
data_Np2Co5NiB2
_chemical_formula_sum 'Np4 Co10 Ni2 B4'
_cell_length_a 3.147
_cell_length_b 8.724
_cell_length_c 8.724
_cell_angle_alpha 90.00
_cell_angle_beta 90.00
_cell_angle_gamma 90.00
_space_group_name_H-M_alt 'P 1'
_space_group_IT_number 1
loop_
_space_group_symop_operation_xyz
'x,y,z'
loop_
_atom_site_label
_atom_site_type_symbol
_atom_site_fract_x
_atom_site_fract_y
_atom_site_fract_z
Co1 Co 0.500 0.000 0.500
Co2 Co 0.500 0.431 0.276
Co3 Co 0.500 0.569 0.724
Co4 Co 0.500 0.776 0.931
Co5 Co 0.500 0.224 0.069
Co6 Co 0.500 0.724 0.431
Co7 Co 0.500 0.500 0.000
Co8 Co 0.500 0.069 0.776
Co9 Co 0.500 0.276 0.569
Co10 Co 0.500 0.931 0.224
Np1 Np 0.000 0.683 0.183
Np2 Np 0.000 0.817 0.683
Np3 Np 0.000 0.183 0.317
Np4 Np 0.000 0.317 0.817
Ni1 Ni 0.000 0.500 0.500
Ni2 Ni 0.000 0.000 0.000
B1 B 0.000 0.615 0.885
B2 B 0.000 0.885 0.385
B3 B 0.000 0.115 0.615
B4 B 0.000 0.385 0.115
# * V: 239.47 Å³/cell
# * crystal system: tetragonal
# * magnetic moment: 4.059 μB per formula unit
# * E_form: -0.107 eV per atom
# * D(E_F): 33.8 states/eV/cell

---

# PBE Pa2CoNi12B3, optimized geometry
data_Pa2CoNi12B3
_chemical_formula_sum 'Pa2 Co1 Ni12 B3'
_cell_length_a 6.591
_cell_length_b 6.591
_cell_length_c 6.591
_cell_angle_alpha 65.91
_cell_angle_beta 65.91
_cell_angle_gamma 65.91
_space_group_name_H-M_alt 'P 1'
_space_group_IT_number 1
loop_
_space_group_symop_operation_xyz
'x,y,z'
loop_
_atom_site_label
_atom_site_type_symbol
_atom_site_fract_x
_atom_site_fract_y
_atom_site_fract_z
B1 B 0.000 0.500 0.000
B2 B 0.000 0.000 0.500
B3 B 0.500 0.000 0.000
Ni1 Ni 0.277 0.277 0.872
Ni2 Ni 0.872 0.277 0.277
Ni3 Ni 0.723 0.723 0.128
Ni4 Ni 0.143 0.143 0.591
Ni5 Ni 0.857 0.409 0.857
Ni6 Ni 0.857 0.857 0.409
Ni7 Ni 0.277 0.872 0.277
Ni8 Ni 0.723 0.128 0.723
Ni9 Ni 0.128 0.723 0.723
Ni10 Ni 0.409 0.857 0.857
Ni11 Ni 0.143 0.591 0.143
Ni12 Ni 0.591 0.143 0.143
Co1 Co 0.000 0.000 0.000
Pa1 Pa 0.399 0.399 0.399
Pa2 Pa 0.601 0.601 0.601
# * V: 228.36 Å³/cell
# * crystal system: trigonal
# * magnetic moment: 2.107 μB per formula unit
# * E_form: -0.071 eV per atom
# * D(E_F): 14.8 states/eV/cell

---

# PBE Pa3Co9NiB2, optimized geometry
data_Pa3Co9NiB2
_chemical_formula_sum 'Pa3 Co9 Ni1 B2'
_cell_length_a 5.276
_cell_length_b 5.276
_cell_length_c 8.300
_cell_angle_alpha 90.00
_cell_angle_beta 90.00
_cell_angle_gamma 120.00
_space_group_name_H-M_alt 'P 1'
_space_group_IT_number 1
loop_
_space_group_symop_operation_xyz
'x,y,z'
loop_
_atom_site_label
_atom_site_type_symbol
_atom_site_fract_x
_atom_site_fract_y
_atom_site_fract_z
Co1 Co 0.000 0.500 0.000
Co2 Co 0.838 0.162 0.718
Co3 Co 0.500 0.000 0.000
Co4 Co 0.162 0.838 0.282
Co5 Co 0.838 0.675 0.718
Co6 Co 0.675 0.838 0.282
Co7 Co 0.500 0.500 0.000
Co8 Co 0.325 0.162 0.718
Co9 Co 0.162 0.325 0.282
B1 B 0.333 0.667 0.147
B2 B 0.667 0.333 0.853
Pa1 Pa 0.667 0.333 0.356
Pa2 Pa 0.000 0.000 0.000
Pa3 Pa 0.333 0.667 0.644
Ni1 Ni 0.000 0.000 0.500
# * V: 200.11 Å³/cell
# * crystal system: trigonal
# * magnetic moment: 0.002 μB per formula unit
# * E_form: -0.288 eV per atom
# * D(E_F): 14.9 states/eV/cell

---

# PBE Pa4Co12NiB3, optimized geometry
data_Pa4Co12NiB3
_chemical_formula_sum 'Pa4 Co12 Ni1 B3'
_cell_length_a 6.980
_cell_length_b 6.980
_cell_length_c 6.980
_cell_angle_alpha 109.47
_cell_angle_beta 109.47
_cell_angle_gamma 109.47
_space_group_name_H-M_alt 'P 1'
_space_group_IT_number 1
loop_
_space_group_symop_operation_xyz
'x,y,z'
loop_
_atom_site_label
_atom_site_type_symbol
_atom_site_fract_x
_atom_site_fract_y
_atom_site_fract_z
Co1 Co 0.500 0.750 0.250
Co2 Co 0.250 0.500 0.750
Co3 Co 0.273 0.273 0.000
Co4 Co 0.250 0.750 0.500
Co5 Co 0.500 0.250 0.750
Co6 Co 0.000 0.273 0.273
Co7 Co 0.727 0.727 0.000
Co8 Co 0.000 0.727 0.727
Co9 Co 0.727 0.000 0.727
Co10 Co 0.273 0.000 0.273
Co11 Co 0.750 0.250 0.500
Co12 Co 0.750 0.500 0.250
B1 B 0.500 0.500 0.000
B2 B 0.000 0.500 0.500
B3 B 0.500 0.000 0.500
Pa1 Pa 0.000 0.000 0.500
Pa2 Pa 0.500 0.000 0.000
Pa3 Pa 0.500 0.500 0.500
Pa4 Pa 0.000 0.500 0.000
Ni1 Ni 0.000 0.000 0.000
# * V: 261.80 Å³/cell
# * crystal system: cubic
# * magnetic moment: 0.000 μB per formula unit
# * E_form: -0.245 eV per atom
# * D(E_F): 13.7 states/eV/cell